No. 1
Computed, not measured: an optimized crystal structure of MgRe2S at the GGA-PBE level of DFT.

Results
The symmetry is I-42d, No. 122. The calculation puts the formation energy from raw total energies at 0.49 eV/atom. The value obtained for the total DFT energy (no corrections) is -7.164 eV/atom. For the density of states at the Fermi level, the calculation gives 3.7 states/eV per cell.

a b c (Å): 7.317 7.317 5.725
angles (deg): 50.28 50.28 90.00
Atoms (fractional coordinates):
Mg1 0.500 0.500 0.000
Mg2 0.250 0.750 0.500
Re1 0.711 0.125 0.250
Re2 0.375 0.289 0.750
Re3 0.039 0.625 0.250
Re4 0.875 0.961 0.750
S1 0.750 0.250 0.500
S2 0.000 0.000 0.000

=====

No. 2
Computed, not measured: an optimized crystal structure of Nd2TmPuTe5 at the GGA-PBE level of DFT.

Results
The symmetry is P4/mmm, No. 123. The calculation puts the formation energy from raw total energies at -0.76 eV/atom. The value obtained for the total DFT energy (no corrections) is -5.656 eV/atom. For the density of states at the Fermi level, the calculation gives 21.2 states/eV per cell.

a b c (Å): 5.413 5.413 11.693
angles (deg): 90.00 90.00 90.00
Last column: magnetic moment on the atom in μB.
Atoms (fractional coordinates):
Te1 0.000 0.000 0.251  -0.04
Te2 0.000 0.500 0.500  -0.01
Te3 0.500 0.000 0.500  -0.01
Te4 0.500 0.500 0.000  -0.06
Te5 0.000 0.000 0.749  -0.04
Pu1 0.000 0.000 0.000  5.64
Nd1 0.500 0.500 0.697  0.14
Nd2 0.500 0.500 0.303  0.14
Tm1 0.000 0.000 0.500  0.03

=====

> Number 2 is which compound?

Nd2TmPuTe5